(1)
A relaxed Pm2HF crystal, computed with PBE.

## Properties
Energy (eV per atom): -5.049

Structure (CIF):
```
data_Pm2HF
_cell_length_a 3.615
_cell_length_b 3.615
_cell_length_c 6.469
_cell_angle_alpha 73.78
_cell_angle_beta 73.78
_cell_angle_gamma 60.00
_symmetry_space_group_name_H-M 'P 1'
_symmetry_Int_Tables_number 1
loop_
_symmetry_equiv_pos_as_xyz
'x,y,z'
loop_
_atom_site_label
_atom_site_type_symbol
_atom_site_fract_x
_atom_site_fract_y
_atom_site_fract_z
Pm1 Pm 0.756 0.756 0.731
Pm2 Pm 0.244 0.244 0.269
F1 F 0.000 0.000 0.000
H1 H 0.500 0.500 0.500
```

(2)
A relaxed GeBSbTe2 crystal, computed with PBE.

## Properties
Uncorrected formation energy (meV per atom): 1415
Energy (eV per atom): -2.925

Structure (CIF):
```
data_GeBSbTe2
_cell_length_a 5.413
_cell_length_b 5.413
_cell_length_c 5.342
_cell_angle_alpha 90.00
_cell_angle_beta 90.00
_cell_angle_gamma 90.00
_symmetry_space_group_name_H-M 'P 1'
_symmetry_Int_Tables_number 1
loop_
_symmetry_equiv_pos_as_xyz
'x,y,z'
loop_
_atom_site_label
_atom_site_type_symbol
_atom_site_fract_x
_atom_site_fract_y
_atom_site_fract_z
Te1 Te 0.000 0.500 0.000
Te2 Te 0.500 0.000 0.000
Ge1 Ge 0.000 0.000 0.000
B1 B 0.500 0.500 0.500
Sb1 Sb 0.000 0.000 0.500
```

(3)
A relaxed Cs2RbInCl4 crystal, computed with PBE.

## Properties
Uncorrected formation energy (meV per atom): -1663
Energy (eV per atom): -3.263

Structure (CIF):
```
data_Cs2RbInCl4
_cell_length_a 4.837
_cell_length_b 8.346
_cell_length_c 8.338
_cell_angle_alpha 70.45
_cell_angle_beta 90.00
_cell_angle_gamma 90.00
_symmetry_space_group_name_H-M 'P 1'
_symmetry_Int_Tables_number 1
loop_
_symmetry_equiv_pos_as_xyz
'x,y,z'
loop_
_atom_site_label
_atom_site_type_symbol
_atom_site_fract_x
_atom_site_fract_y
_atom_site_fract_z
Rb1 Rb 0.000 0.500 0.500
Cl1 Cl 0.000 0.730 0.760
Cl2 Cl 0.500 0.267 0.748
Cl3 Cl 0.000 0.270 0.240
Cl4 Cl 0.500 0.733 0.252
Cs1 Cs 0.500 0.000 0.500
Cs2 Cs 0.000 0.000 0.000
In1 In 0.500 0.500 0.000
```

(4)
A relaxed Cu3Sn12Au5 crystal, computed with PBE.

## Properties
Energy (eV per atom): -3.814

Structure (CIF):
```
data_Cu3Sn12Au5
_cell_length_a 13.956
_cell_length_b 13.956
_cell_length_c 13.956
_cell_angle_alpha 109.47
_cell_angle_beta 109.47
_cell_angle_gamma 109.47
_symmetry_space_group_name_H-M 'P 1'
_symmetry_Int_Tables_number 1
loop_
_symmetry_equiv_pos_as_xyz
'x,y,z'
loop_
_atom_site_label
_atom_site_type_symbol
_atom_site_fract_x
_atom_site_fract_y
_atom_site_fract_z
Sn1 Sn 0.172 0.109 0.736
Sn2 Sn 0.328 0.764 0.391
Sn3 Sn 0.936 0.563 0.172
Sn4 Sn 0.436 0.764 0.873
Sn5 Sn 0.828 0.937 0.064
Sn6 Sn 0.391 0.127 0.563
Sn7 Sn 0.437 0.373 0.609
Sn8 Sn 0.672 0.236 0.609
Sn9 Sn 0.672 0.436 0.563
Sn10 Sn 0.064 0.627 0.736
Sn11 Sn 0.736 0.609 0.172
Sn12 Sn 0.764 0.436 0.373
Sn13 Sn 0.391 0.264 0.328
Sn14 Sn 0.328 0.564 0.437
Sn15 Sn 0.563 0.936 0.672
Sn16 Sn 0.236 0.564 0.627
Sn17 Sn 0.891 0.828 0.764
Sn18 Sn 0.127 0.736 0.564
Sn19 Sn 0.236 0.672 0.109
Sn20 Sn 0.564 0.328 0.937
Sn21 Sn 0.436 0.672 0.063
Sn22 Sn 0.172 0.063 0.936
Sn23 Sn 0.109 0.937 0.373
Sn24 Sn 0.627 0.064 0.236
Sn25 Sn 0.736 0.127 0.064
Sn26 Sn 0.937 0.828 0.564
Sn27 Sn 0.609 0.736 0.672
Sn28 Sn 0.564 0.236 0.127
Sn29 Sn 0.373 0.936 0.764
Sn30 Sn 0.127 0.391 0.063
Sn31 Sn 0.627 0.563 0.891
Sn32 Sn 0.937 0.109 0.873
Sn33 Sn 0.264 0.391 0.828
Sn34 Sn 0.064 0.437 0.828
Sn35 Sn 0.764 0.328 0.891
Sn36 Sn 0.828 0.891 0.264
Sn37 Sn 0.063 0.172 0.436
Sn38 Sn 0.563 0.627 0.391
Sn39 Sn 0.437 0.064 0.328
Sn40 Sn 0.373 0.437 0.109
Sn41 Sn 0.936 0.373 0.264
Sn42 Sn 0.109 0.172 0.236
Sn43 Sn 0.873 0.609 0.937
Sn44 Sn 0.063 0.891 0.127
Sn45 Sn 0.873 0.264 0.436
Sn46 Sn 0.264 0.873 0.936
Sn47 Sn 0.891 0.063 0.627
Sn48 Sn 0.609 0.873 0.437
Cu1 Cu 0.875 0.750 0.125
Cu2 Cu 0.875 0.125 0.250
Cu3 Cu 0.625 0.375 0.750
Cu4 Cu 0.125 0.250 0.875
Cu5 Cu 0.750 0.375 0.125
Cu6 Cu 0.250 0.625 0.875
Cu7 Cu 0.250 0.125 0.375
Cu8 Cu 0.375 0.750 0.625
Cu9 Cu 0.375 0.625 0.250
Cu10 Cu 0.750 0.875 0.625
Cu11 Cu 0.125 0.875 0.750
Cu12 Cu 0.625 0.250 0.375
Au1 Au 0.000 0.000 0.500
Au2 Au 0.125 0.750 0.375
Au3 Au 0.375 0.125 0.750
Au4 Au 0.875 0.625 0.750
Au5 Au 0.500 0.000 0.500
Au6 Au 0.750 0.625 0.375
Au7 Au 0.875 0.250 0.625
Au8 Au 0.500 0.500 0.000
Au9 Au 0.500 0.000 0.000
Au10 Au 0.250 0.375 0.625
Au11 Au 0.125 0.375 0.250
Au12 Au 0.625 0.750 0.875
Au13 Au 0.625 0.875 0.250
Au14 Au 0.250 0.875 0.125
Au15 Au 0.500 0.500 0.500
Au16 Au 0.375 0.250 0.125
Au17 Au 0.750 0.125 0.875
Au18 Au 0.000 0.000 0.000
Au19 Au 0.000 0.500 0.000
Au20 Au 0.000 0.500 0.500
```